This record from Alexandria describes a geometry-optimized Li2TeH2 structure. The functional is PBE-GGA.

Unit cell a=4.593 b=4.723 c=4.775 alpha=61.11 beta=61.25 gamma=60.91
Positions (direct):
Li (0.241, 0.258, 0.260)
Li (0.759, 0.742, 0.740)
Te (0.000, 0.000, 0.000)
H (0.500, 0.422, 0.579)
H (0.500, 0.578, 0.421)

Results
Crystal system   monoclinic
Offset from the most stable computed form   0.000 eV per atom
N(E_F)   0.00 states/eV/atom